(1)
Density functional theory data (GGA-PBE) for a relaxed Ni7W5 crystal.

Output
SG: P6_3/mmc, No. 194
ΔE to the lowest computed polymorph, meV/atom: 265.4
Density, g/cm3: 12.55

Cell lengths 5.0172, 5.0172, 16.1441 Å; angles 90.00, 90.00, 120.00 degrees
With the nearest neighbours (Å) after each atom.
Positions (direct):
1 Ni 0.5000 0.0000 0.0000  2 W 2.36, 4 Ni 2.51
2 Ni 0.0000 0.5000 0.0000  2 W 2.36, 4 Ni 2.51
3 Ni 0.5000 0.5000 0.0000  2 W 2.36, 4 Ni 2.51
4 Ni 0.0000 0.0000 0.1014  6 W 2.79-2.91, 9 Ni 3.00-3.04
5 Ni 0.6667 0.3333 0.1585  9 W 2.91-2.98, 7 Ni 2.94-3.04
6 Ni 0.6667 0.3333 0.3415  9 W 2.91-2.98, 7 Ni 2.94-3.04
7 Ni 0.0000 0.0000 0.3986  6 W 2.79-2.91, 9 Ni 3.00-3.04
8 Ni 0.5000 0.0000 0.5000  2 W 2.36, 4 Ni 2.51
9 Ni 0.0000 0.5000 0.5000  2 W 2.36, 4 Ni 2.51
10 Ni 0.5000 0.5000 0.5000  2 W 2.36, 4 Ni 2.51
11 Ni 0.0000 0.0000 0.6014  6 W 2.79-2.91, 9 Ni 3.00-3.04
12 Ni 0.3333 0.6667 0.6585  9 W 2.91-2.98, 7 Ni 2.94-3.04
13 Ni 0.3333 0.6667 0.8415  9 W 2.91-2.98, 7 Ni 2.94-3.04
14 Ni 0.0000 0.0000 0.8986  6 W 2.79-2.91, 9 Ni 3.00-3.04
15 W 0.3333 0.6667 0.1157  3 Ni 2.36, 3 W 2.62
16 W 0.1649 0.3298 0.2500  6 W 2.48-2.62
17 W 0.1649 0.8351 0.2500  6 W 2.48-2.62
18 W 0.6702 0.8351 0.2500  6 W 2.48-2.62
19 W 0.3333 0.6667 0.3843  3 Ni 2.36, 3 W 2.62
20 W 0.6667 0.3333 0.6157  3 Ni 2.36, 3 W 2.62
21 W 0.3298 0.1649 0.7500  6 W 2.48-2.62
22 W 0.8351 0.1649 0.7500  6 W 2.48-2.62
23 W 0.8351 0.6702 0.7500  6 W 2.48-2.62
24 W 0.6667 0.3333 0.8843  3 Ni 2.36, 3 W 2.62


(2)
Density functional theory data (GGA-PBE) for a relaxed ErScNb crystal.

Output
SG: F-43m, No. 216
ΔE to the lowest computed polymorph, meV/atom: 0.0
Density, g/cm3: 6.17

Cell lengths 4.8781, 4.8781, 4.8781 Å; angles 60.00, 60.00, 60.00 degrees
With the nearest neighbours (Å) after each atom.
Positions (direct):
1 Er 0.5000 0.5000 0.5000  4 Nb 2.99
2 Nb 0.2500 0.2500 0.2500  4 Er 2.99, 4 Sc 2.99
3 Sc 0.0000 0.0000 0.0000  4 Nb 2.99